An optimized crystal structure of Re2TcTe, computed with PBE.

Properties
Formation energy (no corrections), eV/atom: 0.630

Lattice parameters (Å, degrees): 3.094 4.554 4.635 90.00 90.00 90.00
Sites, in units of the cell vectors:
Te (0.000, 0.500, 0.500)
Re (0.500, 0.500, 0.000)
Re (0.000, 0.000, 0.000)
Tc (0.500, 0.000, 0.500)